Y2TiSi2Rh5 PBE-GGA optimized geometry; uncorrected formation energy = -0.94 eV per atom; space group = P4/mbm (127); magnetic moment = 0.000 μB/cell; total energy = -155.69 eV per cell
1.0
-1.353 -3.218 0.423
5.317 -1.182 8.024
-7.201 3.727 5.320
Rh Y Ti Si
10 4 2 4
Direct
0.500 0.710 0.432 Rh
0.500 0.210 0.068 Rh
0.500 0.568 0.710 Rh
0.500 0.068 0.790 Rh
0.500 0.790 0.932 Rh
0.500 0.932 0.210 Rh
0.500 0.432 0.290 Rh
0.500 0.500 0.000 Rh
0.500 0.000 0.500 Rh
0.500 0.290 0.568 Rh
0.000 0.675 0.175 Y
0.000 0.325 0.825 Y
0.000 0.175 0.325 Y
0.000 0.825 0.675 Y
0.000 0.500 0.500 Ti
0.000 0.000 0.000 Ti
0.000 0.123 0.623 Si
0.000 0.877 0.377 Si
0.000 0.377 0.123 Si
0.000 0.623 0.877 Si